VASP calculation (GGA-PBE) on KAgRu after structural relaxation.

abc: 4.7936 4.7936 4.7936
angles: 60.00 60.00 60.00
Element x y z (fractional)
1 Ag 0.0000 0.0000 0.0000
2 K 0.5000 0.5000 0.5000
3 Ru 0.7500 0.7500 0.7500

Energy of formation from the pure elements, eV/atom: 1.4282
Relative energy among the computed polymorphs, meV per atom: 637.6

VASP calculation (GGA-PBE) on SrMg2Tc after structural relaxation.

abc: 3.0200 5.5827 6.4241
angles: 57.25 90.00 90.00
Element x y z (fractional)
1 Mg 0.0000 0.0000 0.0000
2 Mg 0.5000 0.5000 0.0000
3 Sr 0.5000 0.5000 0.5000
4 Tc 0.0000 0.0000 0.5000

Energy of formation from the pure elements, eV/atom: 0.6377
Relative energy among the computed polymorphs, meV per atom: 276.1

VASP calculation (GGA-PBE) on HfVCu after structural relaxation.

abc: 4.5534 5.2979 9.5586
angles: 84.13 76.22 64.55
Element x y z (fractional)
1 Cu 0.1807 0.5000 0.6386
2 Cu 0.3193 0.5000 0.3614
3 Cu 0.5693 0.0000 0.8614
4 Cu 0.4307 0.0000 0.1386
5 V 0.6215 0.5000 0.7570
6 V 0.8785 0.5000 0.2430
7 V 0.1285 0.0000 0.7430
8 V 0.8715 0.0000 0.2570
9 Hf 0.8964 0.2072 0.5000
10 Hf 0.6036 0.7928 0.5000
11 Hf 0.8536 0.2928 0.0000
12 Hf 0.1464 0.7072 0.0000

Energy of formation from the pure elements, eV/atom: 0.4492
Relative energy among the computed polymorphs, meV per atom: 345.2

VASP calculation (GGA-PBE) on MnPd4Au2 after structural relaxation.

abc: 5.6573 8.3253 6.3722
angles: 107.51 103.17 118.77
Element x y z (fractional)
1 Mn 0.2496 0.6872 0.4612
2 Mn 0.8636 0.9974 0.9122
3 Pd 0.6254 0.1124 0.6082
4 Pd 0.4826 0.5662 0.7472
5 Pd 0.4117 0.2663 0.3212
6 Pd 0.9137 0.2698 0.3215
7 Pd 0.9768 0.5507 0.7449
8 Pd 0.0527 0.8386 0.1757
9 Pd 0.1933 0.4096 0.0366
10 Pd 0.3424 0.9768 0.8870
11 Au 0.7619 0.6989 0.4703
12 Au 0.1327 0.1289 0.6070
13 Au 0.6977 0.4097 0.0339
14 Au 0.5459 0.8376 0.1730

Energy of formation from the pure elements, eV/atom: -0.1467
Relative energy among the computed polymorphs, meV per atom: 11.4

VASP calculation (GGA-PBE) on Mn2AgMo after structural relaxation.

abc: 4.5566 4.5566 4.5566
angles: 126.92 126.90 78.40
Element x y z (fractional)
1 Ag 0.2500 0.7500 0.5000
2 Mn 0.0000 0.0000 0.0000
3 Mn 0.5000 0.5000 0.0000
4 Mo 0.7500 0.2500 0.5000

Energy of formation from the pure elements, eV/atom: 0.3788
Relative energy among the computed polymorphs, meV per atom: 92.4

VASP calculation (GGA-PBE) on K4Cd4Pd after structural relaxation.

abc: 6.3224 9.6498 6.3223
angles: 70.88 90.00 109.12
Element x y z (fractional)
1 K 0.0665 0.6848 0.3817
2 K 0.6183 0.6848 0.9335
3 K 0.3817 0.3152 0.6183
4 K 0.9335 0.3152 0.0665
5 Cd 0.3393 0.0970 0.2423
6 Cd 0.7577 0.0970 0.6607
7 Cd 0.2423 0.9030 0.7577
8 Cd 0.6607 0.9030 0.3393
9 Pd 0.0000 0.0000 0.0000

Energy of formation from the pure elements, eV/atom: -0.0647

VASP calculation (GGA-PBE) on BeCuAs2 after structural relaxation.

abc: 3.2216 4.0400 5.1948
angles: 73.94 90.00 90.00
Element x y z (fractional)
1 Be 0.5000 0.2500 0.2500
2 As 0.0000 0.9837 0.0358
3 As 0.0000 0.5163 0.4642
4 Cu 0.5000 0.7500 0.7500

Energy of formation from the pure elements, eV/atom: 0.2688

VASP calculation (GGA-PBE) on PdRuRh2 after structural relaxation.

abc: 3.8367 3.8713 3.8713
angles: 90.00 90.00 90.00
Element x y z (fractional)
1 Ru 0.5000 0.0000 0.0000
2 Rh 0.0000 0.0000 0.5000
3 Rh 0.0000 0.5000 0.0000
4 Pd 0.5000 0.5000 0.5000

Energy of formation from the pure elements, eV/atom: 0.1607
Relative energy among the computed polymorphs, meV per atom: 141.0

VASP calculation (GGA-PBE) on TbPrSm6Dy2 after structural relaxation.

abc: 9.7299 8.9000 8.9000
angles: 117.69 94.18 94.18
Element x y z (fractional)
1 Tb 0.2500 0.9729 0.0271
2 Tb 0.7500 0.0271 0.9729
3 Pr 0.2500 0.4059 0.5941
4 Pr 0.7500 0.5941 0.4059
5 Sm 0.0554 0.1148 0.7556
6 Sm 0.4446 0.2444 0.8852
7 Sm 0.9446 0.8852 0.2444
8 Sm 0.5554 0.7556 0.1148
9 Sm 0.3172 0.9788 0.4308
10 Sm 0.1828 0.5692 0.0212
11 Sm 0.6828 0.0212 0.5692
12 Sm 0.8172 0.4308 0.9788
13 Sm 0.1208 0.7062 0.4928
14 Sm 0.3792 0.5072 0.2938
15 Sm 0.8792 0.2938 0.5072
16 Sm 0.6208 0.4928 0.7062
17 Dy 0.4551 0.8054 0.7063
18 Dy 0.0449 0.2937 0.1946
19 Dy 0.5449 0.1946 0.2937
20 Dy 0.9551 0.7063 0.8054

Energy of formation from the pure elements, eV/atom: 0.1197

VASP calculation (GGA-PBE) on ZrW after structural relaxation.

abc: 10.2898 10.2898 3.3336
angles: 90.00 90.00 90.00
Element x y z (fractional)
1 Zr 0.1815 0.5000 0.0000
2 Zr 0.8185 0.5000 0.0000
3 Zr 0.5000 0.8185 0.0000
4 Zr 0.5000 0.1815 0.0000
5 Zr 0.6815 0.0000 0.5000
6 Zr 0.3185 0.0000 0.5000
7 Zr 0.0000 0.3185 0.5000
8 Zr 0.0000 0.6815 0.5000
9 W 0.8155 0.8155 0.0000
10 W 0.8155 0.1845 0.0000
11 W 0.1845 0.8155 0.0000
12 W 0.1845 0.1845 0.0000
13 W 0.3155 0.3155 0.5000
14 W 0.3155 0.6845 0.5000
15 W 0.6845 0.3155 0.5000
16 W 0.6845 0.6845 0.5000

Energy of formation from the pure elements, eV/atom: 0.5392

VASP calculation (GGA-PBE) on MnCr2Se after structural relaxation.

abc: 3.2115 3.2115 5.4939
angles: 90.00 90.00 90.00
Element x y z (fractional)
1 Cr 0.0000 0.0000 0.0181
2 Cr 0.5000 0.5000 0.2424
3 Mn 0.0000 0.0000 0.4981
4 Se 0.5000 0.5000 0.7415

E_form (uncorrected), eV/atom: 0.163

VASP calculation (GGA-PBE) on CuGeF2 after structural relaxation.

abc: 4.1923 4.1923 4.1923
angles: 60.00 60.00 60.00
Element x y z (fractional)
1 Ge 0.5000 0.5000 0.5000
2 Cu 0.0000 0.0000 0.0000
3 F 0.2500 0.2500 0.2500
4 F 0.7500 0.7500 0.7500

E_form (uncorrected), eV/atom: -0.737
Relative energy among the computed polymorphs, meV per atom: 349.2

The evaluated uncorrected energy for the records listed, in turn: -2.980 -3.172 -7.274 -5.360 -7.627 -1.536 -4.012 -7.132 -4.573 -10.211 -7.812 -3.851 eV per atom.